# GGA-PBE LaDy4Mg, optimized geometry
data_LaDy4Mg
_symmetry_space_group_name_H-M 'P 1'
_symmetry_Int_Tables_number 1
_symmetry_space_group_name_Hall 'P 1'
_cell_length_a 6.689
_cell_length_b 6.689
_cell_length_c 11.220
_cell_angle_alpha 90.00
_cell_angle_beta 90.00
_cell_angle_gamma 131.60
loop_
_atom_site_label
_atom_site_type_symbol
_atom_site_fract_x
_atom_site_fract_y
_atom_site_fract_z
La1 La 0.179 0.821 0.500
La2 La 0.821 0.179 0.000
Dy1 Dy 0.021 0.979 0.213
Dy2 Dy 0.169 0.831 0.939
Dy3 Dy 0.321 0.679 0.219
Dy4 Dy 0.493 0.507 0.480
Dy5 Dy 0.507 0.493 0.980
Dy6 Dy 0.679 0.321 0.719
Dy7 Dy 0.831 0.169 0.439
Dy8 Dy 0.979 0.021 0.713
Mg1 Mg 0.348 0.652 0.732
Mg2 Mg 0.652 0.348 0.232
# Final energy   -4.1268 eV/atom
# ΔE to the lowest computed polymorph   0.035 eV per atom
# ΔH_f (0 K)   16.4 kJ/mol of formula units

---

# GGA-PBE AlGaSbI2, optimized geometry
data_AlGaSbI2
_symmetry_space_group_name_H-M 'P 1'
_symmetry_Int_Tables_number 1
_symmetry_space_group_name_Hall 'P 1'
_cell_length_a 5.660
_cell_length_b 5.660
_cell_length_c 5.372
_cell_angle_alpha 90.00
_cell_angle_beta 90.00
_cell_angle_gamma 90.00
loop_
_atom_site_label
_atom_site_type_symbol
_atom_site_fract_x
_atom_site_fract_y
_atom_site_fract_z
Al1 Al 0.000 0.000 0.000
Ga1 Ga 0.500 0.500 0.500
Sb1 Sb 0.000 0.000 0.500
I1 I 0.000 0.500 0.000
I2 I 0.500 0.000 0.000
# Final energy   -2.6656 eV/atom
# ΔE to the lowest computed polymorph   0.000 eV per atom
# Energy relative to the elements, uncorrected   133 meV/atom

---

# GGA-PBE TaSi2, optimized geometry
data_TaSi2
_symmetry_space_group_name_H-M 'P 1'
_symmetry_Int_Tables_number 1
_symmetry_space_group_name_Hall 'P 1'
_cell_length_a 4.542
_cell_length_b 4.542
_cell_length_c 4.542
_cell_angle_alpha 144.81
_cell_angle_beta 115.14
_cell_angle_gamma 75.99
loop_
_atom_site_label
_atom_site_type_symbol
_atom_site_fract_x
_atom_site_fract_y
_atom_site_fract_z
Ta1 Ta 0.000 0.000 0.000
Si1 Si 0.326 0.826 0.500
Si2 Si 0.674 0.174 0.500
# Final energy   -7.3688 eV/atom
# Energy relative to the elements, uncorrected   197 meV/atom